A plane-wave DFT calculation with GGA-PBE was carried out for a relaxed structure of Er2Al2Ru5W.

a = 10.108 Å, b = 10.108 Å, c = 3.241 Å
α = 90.00°, β = 90.00°, γ = 90.00°
Space group P4/mbm (No. 127)
Unique sites:
Er 0.171 0.329 0.000 (multiplicity 4)
Al 0.127 0.627 0.000 (multiplicity 4)
Ru 0.000 0.500 0.500 (multiplicity 2)
Ru 0.065 0.803 0.500 (multiplicity 8)
W 0.000 0.000 0.000 (multiplicity 2)



A plane-wave DFT calculation with GGA-PBE was carried out for a relaxed structure of Tb4Dy19Sc6.

a = 12.257 Å, b = 12.257 Å, c = 12.257 Å
α = 90.00°, β = 90.00°, γ = 90.00°
Space group I23 (No. 197)
Unique sites:
Tb 0.179 0.179 0.821 (multiplicity 8)
Dy 0.000 0.000 0.000 (multiplicity 2)
Dy 0.000 0.000 0.266 (multiplicity 12)
Dy 0.058 0.274 0.282 (multiplicity 24)
Sc 0.000 0.383 0.500 (multiplicity 12)



A plane-wave DFT calculation with GGA-PBE was carried out for a relaxed structure of CuPb7.

a = 9.844 Å, b = 9.844 Å, c = 9.844 Å
α = 90.00°, β = 90.00°, γ = 90.00°
Space group Fm-3m (No. 225)
Unique sites:
Cu 0.000 0.000 0.000 (multiplicity 4)
Pb 0.000 0.000 0.500 (multiplicity 4)
Pb 0.000 0.250 0.250 (multiplicity 24)



Going through the records in order, we get DFT total energy values of -0.29390; -0.16792; -0.13185 Ha/atom.
Going through the records in order, we get DFT formation energy values of -4.0; 11.4; 1.4 eV per formula unit.